The following is a DFT calculation (PBE) of a geometry-optimized CeEr2ThP4 structure.

a b c (Å): 6.9837 4.0564 7.0200
angles (deg): 90.00 109.59 90.00
Space group P2/m (No. 10)
Unique sites:
Ce: 0.0000 0.0000 0.0000
Er: 0.5000 0.0000 0.5000
Er: 0.5000 0.5000 0.0000
Th: 0.0000 0.5000 0.5000
P: 0.2578 0.5000 0.2516
P: 0.2588 0.0000 0.7541

Calculated values
- E_tot (eV per cell) = -56.7
- N(E_F) (states/eV per cell) = 6.291
- crystal system = monoclinic
- total magnetic moment (μB per cell) = 0.7
- ρ (kg/m3) = 7361
- formation energy from the elements (eV per atom) = -1.575

=====

The following is a DFT calculation (PBE) of a geometry-optimized Ba4TlAsI2 structure.

a b c (Å): 8.8583 4.8139 8.9611
angles (deg): 90.00 107.24 90.00
Space group P2/m (No. 10)
Unique sites:
Ba: 0.2223 0.0000 0.2058
Ba: 0.2416 0.5000 0.7797
Tl: 0.5000 0.0000 0.0000
As: 0.0000 0.5000 0.0000
I: 0.0000 0.0000 0.5000
I: 0.5000 0.5000 0.5000

Calculated values
- E_tot (eV per cell) = -26.7
- energy relative to the elements, uncorrected (meV per atom) = -1108
- N(E_F) (states/eV per cell) = 4.016
- crystal system = monoclinic
- total magnetic moment (μB per cell) = 1.2
- ρ (kg/m3) = 4925

=====

The following is a DFT calculation (PBE) of a geometry-optimized MgPS2N structure.

a b c (Å): 4.4765 4.4765 3.7314
angles (deg): 90.00 90.00 90.00
Space group P4/mmm (No. 123)
Unique sites:
Mg: 0.0000 0.0000 0.0000
P: 0.5000 0.5000 0.0000
S: 0.0000 0.5000 0.5000
N: 0.5000 0.5000 0.5000

Calculated values
- E_tot (eV per cell) = -20.4
- energy relative to the elements, uncorrected (meV per atom) = 634
- N(E_F) (states/eV per cell) = 1.657
- crystal system = tetragonal
- total magnetic moment (μB per cell) = 0.0
- ρ (kg/m3) = 2963
- energy above the lowest structure with this stoichiometry (meV/atom) = 567

=====

The following is a DFT calculation (PBE) of a geometry-optimized Ca2Zn3Ga4Sn structure.

a b c (Å): 4.2850 4.2850 11.2972
angles (deg): 90.00 90.00 90.00
Space group P-4m2 (No. 115)
Unique sites:
Ca: 0.0000 0.5000 0.2380
Zn: 0.0000 0.5000 0.8683
Zn: 0.5000 0.5000 0.5000
Ga: 0.0000 0.0000 0.0000
Ga: 0.0000 0.5000 0.6516
Ga: 0.5000 0.5000 0.0000
Sn: 0.0000 0.0000 0.5000

Calculated values
- E_tot (eV per cell) = -27.1
- N(E_F) (states/eV per cell) = 2.866
- crystal system = tetragonal
- total magnetic moment (μB per cell) = 0.0
- ρ (kg/m3) = 5395
- formation energy from the elements (eV per atom) = -0.317

=====

> What is the formula in the fourth record?

Ca2Zn3Ga4Sn